Below is Y2ReAg after structural relaxation, with properties calculated at the PBE level.

Cell and atoms, written as POSCAR:
```
Y2ReAg
1.0
-0.3025 1.8332 -4.5710
1.6495 -2.6375 -3.8300
-3.1962 -1.9302 -3.2257
Ag Re Y
1 1 2
Direct
0.5000 0.5000 0.5000
0.2500 0.2500 0.2500
0.0000 0.0000 0.0000
0.7500 0.7500 0.7500
```

Values from the calculation:
Excess energy over the best structure of this formula in the dataset: 482 meV per atom